The following is a DFT calculation (PBE) of a relaxed structure of Na4AgSe2.

Values from the calculation:
crystal system = trigonal
total energy = -2.855 eV/atom
density of states at the Fermi level = 2.6 states/eV per cell
M_tot = 0.54 μB per formula unit
space-group type = R-3m (166)

Cell: 4.8665 4.8665 9.7083 Å, 75.48 75.48 60.00°
Sites, in units of the cell vectors:
Ag  0.0000  0.0000  0.0000
Na  0.7951  0.7951  0.6147
Na  0.6110  0.6110  0.1670
Se  0.9042  0.9042  0.2873
Na  0.2049  0.2049  0.3853
Na  0.3890  0.3890  0.8330
Se  0.0958  0.0958  0.7127


The following is a DFT calculation (PBE) of a relaxed structure of NaAgSe2.

Values from the calculation:
crystal system = cubic
total energy = -2.968 eV/atom
density of states at the Fermi level = 3.3 states/eV per cell
M_tot = 0.00 μB per formula unit
space-group type = Fm-3m (225)

Cell: 4.9145 4.9145 4.9145 Å, 60.00 60.00 60.00°
Sites, in units of the cell vectors:
Ag  0.5000  0.5000  0.5000
Se  0.2500  0.2500  0.2500
Se  0.7500  0.7500  0.7500
Na  0.0000  0.0000  0.0000


The following is a DFT calculation (PBE) of a relaxed structure of NaAgSe5.

Values from the calculation:
crystal system = monoclinic
total energy = -3.233 eV/atom
density of states at the Fermi level = 6.2 states/eV per cell
M_tot = 0.00 μB per formula unit
space-group type = C2/c (15)

Cell: 6.0522 6.0522 11.7443 Å, 73.73 73.73 61.50°
Sites, in units of the cell vectors:
Ag  0.0000  0.0000  0.0000
Se  0.8175  0.6504  0.3384
Na  0.4748  0.5252  0.2500
Se  0.3496  0.1825  0.1616
Ag  0.0000  0.0000  0.5000
Se  0.1825  0.3496  0.6616
Se  0.5148  0.2169  0.4950
Se  0.7831  0.4852  0.0050
Se  0.0069  0.9931  0.2500
Na  0.5252  0.4748  0.7500
Se  0.2169  0.5148  0.9950
Se  0.9931  0.0069  0.7500
Se  0.6504  0.8175  0.8384
Se  0.4852  0.7831  0.5050


The following is a DFT calculation (PBE) of a relaxed structure of NaAg3Se3.

Values from the calculation:
crystal system = trigonal
total energy = -3.113 eV/atom
density of states at the Fermi level = 14.3 states/eV per cell
M_tot = 0.00 μB per formula unit
space-group type = R-3 (148)

Cell: 7.4472 7.4472 8.4444 Å, 63.84 63.84 60.00°
Sites, in units of the cell vectors:
Se  0.0829  0.7476  0.7532
Ag  0.5436  0.2071  0.3730
Se  0.5837  0.9171  0.2468
Ag  0.8762  0.5436  0.3730
Ag  0.4564  0.7929  0.6270
Se  0.9171  0.2524  0.2468
Se  0.4163  0.0829  0.7532
Na  0.3335  0.3335  0.9996
Se  0.7476  0.4163  0.7532
Ag  0.7929  0.1238  0.6270
Ag  0.2071  0.8762  0.3730
Na  0.6665  0.6665  0.0004
Ag  0.1238  0.4564  0.6270
Se  0.2524  0.5837  0.2468


The following is a DFT calculation (PBE) of a relaxed structure of NaAg6Se4.

Values from the calculation:
crystal system = hexagonal
total energy = -3.110 eV/atom
density of states at the Fermi level = 4.9 states/eV per cell
M_tot = 0.00 μB per formula unit
space-group type = P-6m2 (187)

Cell: 3.9524 8.2945 8.2945 Å, 120.00 90.00 90.00°
Sites, in units of the cell vectors:
Se  0.5000  0.3525  0.1763
Ag  0.5000  0.6069  0.8034
Ag  0.0000  0.9092  0.4546
Ag  0.5000  0.1966  0.8034
Se  0.5000  0.8237  0.6475
Se  0.5000  0.8237  0.1763
Na  0.0000  0.0000  0.0000
Ag  0.5000  0.1966  0.3931
Se  0.0000  0.3333  0.6667
Ag  0.0000  0.5454  0.4546
Ag  0.0000  0.5454  0.0908


The following is a DFT calculation (PBE) of a relaxed structure of Na2Ag5Se4.

Values from the calculation:
crystal system = orthorhombic
total energy = -3.042 eV/atom
density of states at the Fermi level = 4.8 states/eV per cell
M_tot = 0.00 μB per formula unit
space-group type = Fmmm (69)

Cell: 5.6606 7.3454 7.7998 Å, 81.96 68.72 67.34°
Sites, in units of the cell vectors:
Ag  0.5000  0.5000  0.0000
Ag  0.5000  0.0000  0.0000
Se  0.7661  0.7276  0.7403
Ag  0.0000  0.5000  0.0000
Se  0.4937  0.2724  0.7403
Se  0.2339  0.2724  0.2597
Ag  0.7500  0.5000  0.5000
Se  0.5063  0.7276  0.2597
Na  0.1737  0.0000  0.6525
Ag  0.2500  0.5000  0.5000
Na  0.8263  0.0000  0.3475


The following is a DFT calculation (PBE) of a relaxed structure of Na2AgSe2.

Values from the calculation:
crystal system = orthorhombic
total energy = -3.152 eV/atom
density of states at the Fermi level = 1.6 states/eV per cell
M_tot = 0.00 μB per formula unit
space-group type = Immm (71)

Cell: 3.9786 5.8846 5.8849 Å, 72.31 70.25 70.24°
Sites, in units of the cell vectors:
Na  0.3011  0.1987  0.6987
Se  0.0000  0.2448  0.2552
Se  0.0000  0.7552  0.7448
Na  0.6989  0.8013  0.3013
Ag  0.5000  0.5000  0.0000


The following is a DFT calculation (PBE) of a relaxed structure of Na2AgSe2.

Values from the calculation:
crystal system = monoclinic
total energy = -3.135 eV/atom
M_tot = 0.00 μB per formula unit
space-group type = C2/m (12)

Cell: 4.5049 6.1216 9.6299 Å, 74.07 76.47 68.41°
Sites, in units of the cell vectors:
Se  0.8337  0.7087  0.6239
Se  0.1663  0.2913  0.3761
Na  0.3332  0.2526  0.0811
Se  0.9629  0.1848  0.8894
Se  0.0371  0.8152  0.1106
Na  0.6668  0.7474  0.9189
Ag  0.2021  0.9521  0.6436
Ag  0.7979  0.0479  0.3564
Na  0.5021  0.3322  0.6636
Na  0.4979  0.6678  0.3364